Below is crystalline La6Pd2PtI3 at its relaxed geometry, with properties calculated at the PBE level.

Calculated values
Space group: No. 12
Fermi-level density of states in states/eV/atom: 0.7683
Formation energy (no corrections) in eV per atom: -1.043
Magnetization in μB/cell: 0.00

Cell: 7.5071 7.5071 8.6077 Å, 98.36 98.36 120.02°
Element x y z (fractional)
La: 0.0635 0.3929 0.1901
La: 0.2657 0.2657 0.8097
La: 0.3929 0.0635 0.1901
La: 0.6071 0.9365 0.8099
La: 0.7343 0.7343 0.1903
La: 0.9365 0.6071 0.8099
Pd: 0.3334 0.6666 0.0000
Pd: 0.6666 0.3334 0.0000
Pt: 0.0000 0.0000 0.0000
I: 0.1673 0.8327 0.5000
I: 0.5000 0.5000 0.5000
I: 0.8327 0.1673 0.5000